1.
# TmPaTe2 (PBE, relaxed)
data_TmPaTe2
_space_group_name_H-M_alt 'R -3 m'
_space_group_IT_number 166
_space_group_name_Hall '-R 3 2"'
_cell_length_a 3.9265
_cell_length_b 3.9265
_cell_length_c 30.5187
_cell_angle_alpha 90.00
_cell_angle_beta 90.00
_cell_angle_gamma 120.00
loop_
_atom_site_label
_atom_site_type_symbol
_atom_site_fract_x
_atom_site_fract_y
_atom_site_fract_z
Tm1 Tm 0.0000 0.0000 0.0000
Pa1 Pa 0.0000 0.0000 0.5000
Te1 Te 0.0000 0.0000 0.0978
# Theoretical density (g cm⁻³): 8.01
# Raw total energy (eV per atom): -5.552
# Distance to the lowest polymorph of the same formula (eV per atom): 0.3923
# ΔE_f (raw) (kJ/mol of atoms): -47.2



2.
# Na2SrAsIr (PBE, relaxed)
data_Na2SrAsIr
_space_group_name_H-M_alt 'P 4/m m m'
_space_group_IT_number 123
_space_group_name_Hall '-P 4 2'
_cell_length_a 5.675
_cell_length_b 5.675
_cell_length_c 4.984
_cell_angle_alpha 90.00
_cell_angle_beta 90.00
_cell_angle_gamma 90.00
loop_
_atom_site_label
_atom_site_type_symbol
_atom_site_fract_x
_atom_site_fract_y
_atom_site_fract_z
Na1 Na 0.000 0.500 0.000
Sr1 Sr 0.000 0.000 0.000
As1 As 0.500 0.500 0.500
Ir1 Ir 0.000 0.000 0.500
# Theoretical density (g cm⁻³): 4.15
# Raw total energy (eV per atom): -2.371
# ΔH_f (0 K) (eV/f.u.): 6.0



3.
# Ce2TcH (PBE, relaxed)
data_Ce2TcH
_space_group_name_H-M_alt 'R 3 m'
_space_group_IT_number 160
_space_group_name_Hall 'R 3 -2"'
_cell_length_a 3.2992
_cell_length_b 3.2992
_cell_length_c 22.6221
_cell_angle_alpha 90.00
_cell_angle_beta 90.00
_cell_angle_gamma 120.00
loop_
_atom_site_label
_atom_site_type_symbol
_atom_site_fract_x
_atom_site_fract_y
_atom_site_fract_z
Ce1 Ce 0.0000 0.0000 0.0000
Ce2 Ce 0.0000 0.0000 0.1432
Tc1 Tc 0.0000 0.0000 0.5717
H1 H 0.0000 0.0000 0.7362
# Theoretical density (g cm⁻³): 8.86
# Raw total energy (eV per atom): -6.424
# Distance to the lowest polymorph of the same formula (eV per atom): 0.0839



4.
# Na2CePaO6 (PBE, relaxed)
data_Na2CePaO6
_space_group_name_H-M_alt 'P 1 21/c 1'
_space_group_IT_number 14
_cell_length_a 5.882
_cell_length_b 6.031
_cell_length_c 10.266
_cell_angle_alpha 90.00
_cell_angle_beta 124.90
_cell_angle_gamma 90.00
loop_
_space_group_symop_operation_xyz
'x,y,z'
'-x,-y,-z'
'-x,y+1/2,-z+1/2'
'x,-y+1/2,z+1/2'
loop_
_atom_site_label
_atom_site_type_symbol
_atom_site_fract_x
_atom_site_fract_y
_atom_site_fract_z
Na1 Na 0.243 0.035 0.249
Ce1 Ce 0.000 0.000 0.500
Pa1 Pa 0.500 0.000 0.000
O1 O 0.148 0.195 0.948
O2 O 0.255 0.705 0.944
O3 O 0.359 0.045 0.756
# Theoretical density (g cm⁻³): 5.70
# Raw total energy (eV per atom): -7.492
# ΔE_f (raw) (kJ/mol of atoms): -261.6



5.
# ZrCdSn2 (PBE, relaxed)
data_ZrCdSn2
_space_group_name_H-M_alt 'R 3 m'
_space_group_IT_number 160
_space_group_name_Hall 'R 3 -2"'
_cell_length_a 4.4340
_cell_length_b 4.4340
_cell_length_c 18.4814
_cell_angle_alpha 90.00
_cell_angle_beta 90.00
_cell_angle_gamma 120.00
loop_
_atom_site_label
_atom_site_type_symbol
_atom_site_fract_x
_atom_site_fract_y
_atom_site_fract_z
Zr1 Zr 0.0000 0.0000 0.0000
Cd1 Cd 0.0000 0.0000 0.8260
Sn1 Sn 0.0000 0.0000 0.4137
Sn2 Sn 0.0000 0.0000 0.5826
# Theoretical density (g cm⁻³): 6.98
# Raw total energy (eV per atom): -4.402
# ΔH_f (0 K) (eV/f.u.): -0.1



6.
# Sr6CdIr2 (PBE, relaxed)
data_Sr6CdIr2
_space_group_name_H-M_alt 'I m m m'
_space_group_IT_number 71
_space_group_name_Hall '-I 2 2'
_cell_length_a 10.366
_cell_length_b 10.552
_cell_length_c 11.443
_cell_angle_alpha 90.00
_cell_angle_beta 90.00
_cell_angle_gamma 90.00
loop_
_atom_site_label
_atom_site_type_symbol
_atom_site_fract_x
_atom_site_fract_y
_atom_site_fract_z
Sr1 Sr 0.000 0.215 0.228
Sr2 Sr 0.189 0.500 0.175
Sr3 Sr 0.209 0.319 0.500
Cd1 Cd 0.000 0.000 0.000
Cd2 Cd 0.000 0.000 0.500
Ir1 Ir 0.000 0.373 0.000
Ir2 Ir 0.000 0.500 0.387
# Theoretical density (g cm⁻³): 5.43
# Raw total energy (eV per atom): -3.382
# ΔH_f (0 K) (eV/f.u.): -1.7



7.
# PrY4Er5 (PBE, relaxed)
data_PrY4Er5
_space_group_name_H-M_alt 'I 4'
_space_group_IT_number 79
_cell_length_a 10.162
_cell_length_b 10.162
_cell_length_c 6.345
_cell_angle_alpha 90.00
_cell_angle_beta 90.00
_cell_angle_gamma 90.00
loop_
_space_group_symop_operation_xyz
'x,y,z'
'-y,x,z'
'-x,-y,z'
'y,-x,z'
'x+1/2,y+1/2,z+1/2'
'-y+1/2,x+1/2,z+1/2'
'-x+1/2,-y+1/2,z+1/2'
'y+1/2,-x+1/2,z+1/2'
loop_
_atom_site_label
_atom_site_type_symbol
_atom_site_fract_x
_atom_site_fract_y
_atom_site_fract_z
Pr1 Pr 0.000 0.000 0.000
Y1 Y 0.049 0.346 0.770
Er1 Er 0.000 0.000 0.545
Er2 Er 0.143 0.231 0.274
# Theoretical density (g cm⁻³): 6.76
# Raw total energy (eV per atom): -5.045
# Distance to the lowest polymorph of the same formula (eV per atom): 0.2771
# ΔH_f (0 K) (eV/f.u.): 3.0



8.
# KZrTeS2 (PBE, relaxed)
data_KZrTeS2
_space_group_name_H-M_alt 'P 4/m m m'
_space_group_IT_number 123
_space_group_name_Hall '-P 4 2'
_cell_length_a 5.049
_cell_length_b 5.049
_cell_length_c 5.771
_cell_angle_alpha 90.00
_cell_angle_beta 90.00
_cell_angle_gamma 90.00
loop_
_atom_site_label
_atom_site_type_symbol
_atom_site_fract_x
_atom_site_fract_y
_atom_site_fract_z
K1 K 0.000 0.000 0.000
Zr1 Zr 0.500 0.500 0.500
Te1 Te 0.000 0.000 0.500
S1 S 0.000 0.500 0.000
# Theoretical density (g cm⁻³): 3.63
# Raw total energy (eV per atom): -3.208
# ΔE_f (raw) (kJ/mol of atoms): 96.6